Compound: Ba6Hg5Sb
Source: the Alexandria database
Functional: PBE
Structure: optimized geometry

a b c (Å): 8.459 13.853 9.183
angles (deg): 90.00 104.06 90.00
Space group C2/m (No. 12)
Inequivalent atoms, fractional coordinates:
Ba: 0.212 0.000 0.213 (multiplicity 4)
Ba: 0.236 0.167 0.728 (multiplicity 8)
Hg: 0.000 0.197 0.000 (multiplicity 4)
Hg: 0.000 0.384 0.500 (multiplicity 4)
Hg: 0.000 0.500 0.000 (multiplicity 2)
Sb: 0.000 0.000 0.500 (multiplicity 2)

As for the uncorrected formation energy: -0.488 eV per atom. For the size of the total moment, the calculation gives 0.00 μB/cell.

Compound: Cs2CdP
Source: the Alexandria database
Functional: PBE
Structure: optimized geometry

a b c (Å): 8.776 8.776 8.776
angles (deg): 90.00 90.00 90.00
Space group Fm-3m (No. 225)
Inequivalent atoms, fractional coordinates:
Cs: 0.250 0.250 0.250 (multiplicity 8)
Cd: 0.000 0.000 0.000 (multiplicity 4)
P: 0.000 0.000 0.500 (multiplicity 4)

As for the energy of formation from the pure elements: 108 meV/atom. For the size of the total moment, the calculation gives 4.00 μB/cell.

Compound: Fe2CoW
Source: the Alexandria database
Functional: PBE
Structure: optimized geometry

a b c (Å): 5.137 7.237 2.652
angles (deg): 90.00 90.00 90.00
Space group Cmmm (No. 65)
Inequivalent atoms, fractional coordinates:
Fe: 0.250 0.250 0.000 (multiplicity 4)
Co: 0.000 0.000 0.500 (multiplicity 2)
W: 0.000 0.500 0.500 (multiplicity 2)

As for the energy of formation from the pure elements: 194 meV/atom. For the size of the total moment, the calculation gives 7.54 μB/cell.

Compound: BeWCl
Source: the Alexandria database
Functional: PBE
Structure: optimized geometry

a b c (Å): 5.608 5.608 5.608
angles (deg): 90.00 90.00 90.00
Space group F-43m (No. 216)
Inequivalent atoms, fractional coordinates:
Be: 0.000 0.000 0.000 (multiplicity 4)
W: 0.000 0.000 0.500 (multiplicity 4)
Cl: 0.250 0.250 0.250 (multiplicity 4)

As for the uncorrected formation energy: 1.534 eV per atom. For the size of the total moment, the calculation gives 0.00 μB/cell.